BaCaSiIr2 after structural relaxation, computed with PBE.

Cell lengths 4.6503, 4.6503, 5.3027 Å; angles 90.00, 90.00, 90.00 degrees
Space group P4/mmm (No. 123)
Asymmetric unit:
Ba1 0.0000 0.0000 0.0000 [1 per cell]
Ca1 0.5000 0.5000 0.0000 [1 per cell]
Si1 0.5000 0.5000 0.5000 [1 per cell]
Ir1 0.0000 0.5000 0.5000 [2 per cell]

Computed properties:
Final energy, hartree per atom: -0.198
Fermi-level density of states, states/eV per cell: 3.8
Total magnetic moment, μB per cell: 0.00
Energy relative to the elements, uncorrected, meV/atom: 19

BaCaSi2Ir after structural relaxation, computed with PBE.

Cell lengths 5.3283, 5.3283, 5.1356 Å; angles 90.00, 90.00, 90.00 degrees
Space group P4/mmm (No. 123)
Asymmetric unit:
Ba1 0.0000 0.0000 0.0000 [1 per cell]
Ca1 0.5000 0.5000 0.5000 [1 per cell]
Si1 0.0000 0.5000 0.5000 [2 per cell]
Ir1 0.5000 0.5000 0.0000 [1 per cell]

Computed properties:
Final energy, hartree per atom: -0.143
Fermi-level density of states, states/eV per cell: 4.1
Total magnetic moment, μB per cell: 0.00
Energy relative to the elements, uncorrected, meV/atom: 845

BaCa2SnIr after structural relaxation, computed with PBE.

Cell lengths 5.5829, 5.5829, 5.2478 Å; angles 90.00, 90.00, 90.00 degrees
Space group P4/mmm (No. 123)
Asymmetric unit:
Ba1 0.0000 0.0000 0.0000 [1 per cell]
Ca1 0.0000 0.5000 0.5000 [2 per cell]
Sn1 0.5000 0.5000 0.0000 [1 per cell]
Ir1 0.5000 0.5000 0.5000 [1 per cell]

Computed properties:
Final energy, hartree per atom: -0.151
Fermi-level density of states, states/eV per cell: 3.1
Total magnetic moment, μB per cell: 0.00
Formation enthalpy at 0 K, eV per atom: -0.356

BaCaTcIr2 after structural relaxation, computed with PBE.

Cell lengths 5.1248, 5.1248, 5.0170 Å; angles 90.00, 90.00, 90.00 degrees
Space group P4/mmm (No. 123)
Asymmetric unit:
Ba1 0.0000 0.0000 0.0000 [1 per cell]
Ca1 0.5000 0.5000 0.5000 [1 per cell]
Tc1 0.5000 0.5000 0.0000 [1 per cell]
Ir1 0.0000 0.5000 0.5000 [2 per cell]

Computed properties:
Final energy, hartree per atom: -0.178
Fermi-level density of states, states/eV per cell: 7.0
Total magnetic moment, μB per cell: 4.02
Formation enthalpy at 0 K, eV per atom: 1.572